Entry from the Open Quantum Materials Database: a geometry-optimized HoTmAl4Pd2 structure (PBE).

```
HoTmAl4Pd2
1.0
6.931 0.000 0.000
0.000 2.137 5.063
0.000 -2.137 5.063
Pd Ho Al Tm
2 1 4 1
Direct
0.500 0.290 0.290
0.000 0.711 0.711
0.000 0.428 0.428
0.303 0.860 0.860
0.697 0.860 0.860
0.802 0.140 0.140
0.198 0.140 0.140
0.500 0.572 0.572
```

Output
- Electronic total energy: -5.095 eV/atom